A plane-wave DFT calculation with PBE was carried out for a geometry-optimized Ba2ZnPd6Pb structure.

formation enthalpy at 0 K	-0.456	eV/atom
space group	C2/m (12)
D(E_F)	4.2	states/eV/cell
total moment	0.00	μB per formula unit
crystal system	monoclinic
calculated total energy	-4.454	eV per atom

Lattice parameters (Å, degrees): 5.7262 8.8926 7.1653 50.00 66.45 89.99
Element x y z (fractional)
Pd 0.7404 0.7383 0.0337
Ba 0.2592 0.8004 0.4818
Pd 0.7540 0.5990 0.4928
Pb 0.5000 0.5000 0.0000
Pd 0.2460 0.4010 0.5072
Pd 0.2596 0.2617 0.9663
Pd 0.2262 0.7385 0.0332
Zn 0.0000 0.0000 0.0000
Pd 0.7738 0.2615 0.9668
Ba 0.7408 0.1996 0.5182